The following is a GGA-PBE calculation of an optimized crystal structure of Sr2OsO4, from the Alexandria database.

Output
Space-group type = No. 122
Energy relative to the lowest polymorph listed for this composition = 0 meV/atom
Volume = 17.77 Å³/atom
Density of states at the Fermi level = 5.9 states/eV per cell

Unit cell a=6.8822 b=6.8822 c=6.8822 alpha=64.39 beta=73.51 gamma=106.49
Each line ends with the local moment (μB).
Fractional positions:
Sr (0.0471, 0.4221, 0.1250)  0.01
Sr (0.5471, 0.1250, 0.8279)  0.01
Sr (0.9529, 0.8279, 0.6250)  0.01
Sr (0.4529, 0.6250, 0.4221)  0.01
Os (0.5000, 0.2500, 0.2500)  1.30
Os (0.0000, 0.0000, 0.0000)  1.30
O (0.8277, 0.9665, 0.2986)  0.10
O (0.6723, 0.3888, 0.3763)  0.10
O (0.2349, 0.2835, 0.3888)  0.10
O (0.2651, 0.2986, 0.8737)  0.10
O (0.3277, 0.9514, 0.2835)  0.10
O (0.7651, 0.3763, 0.9514)  0.10
O (0.7349, 0.8612, 0.9665)  0.10
O (0.1723, 0.8737, 0.8612)  0.10



The following is a GGA-PBE calculation of an optimized crystal structure of Sr4Os6O19, from the Alexandria database.

Output
Space-group type = No. 197
Volume = 13.79 Å³/atom
Density of states at the Fermi level = 13.8 states/eV per cell

Unit cell a=8.0386 b=8.0386 c=8.0386 alpha=109.47 beta=109.47 gamma=109.47
Each line ends with the local moment (μB).
Fractional positions:
Sr (0.0000, 0.0000, 0.7036)  0.00
Sr (0.0000, 0.7036, 0.0000)  0.00
Sr (0.2964, 0.2964, 0.2964)  0.00
Sr (0.7036, 0.0000, 0.0000)  0.00
Os (0.3631, 0.5000, 0.8631)  0.12
Os (0.6369, 0.5000, 0.1369)  0.12
Os (0.1369, 0.6369, 0.5000)  0.12
Os (0.8631, 0.3631, 0.5000)  0.12
Os (0.5000, 0.8631, 0.3631)  0.12
Os (0.5000, 0.1369, 0.6369)  0.12
O (0.6666, 0.0000, 0.6666)  0.01
O (0.3334, 0.0000, 0.3334)  0.01
O (0.3334, 0.3334, 0.0000)  0.01
O (0.6666, 0.6666, 0.0000)  0.01
O (0.0000, 0.6666, 0.6666)  0.01
O (0.0000, 0.3334, 0.3334)  0.01
O (0.0000, 0.0000, 0.0000)  0.00
O (0.3550, 0.2893, 0.6447)  0.01
O (0.6450, 0.2898, 0.9343)  0.01
O (0.6446, 0.7102, 0.3553)  0.01
O (0.9343, 0.6450, 0.2898)  0.01
O (0.3554, 0.7107, 0.0657)  0.01
O (0.6447, 0.3550, 0.2893)  0.01
O (0.0657, 0.3554, 0.7107)  0.01
O (0.3553, 0.6446, 0.7102)  0.01
O (0.7107, 0.0657, 0.3554)  0.01
O (0.2898, 0.9343, 0.6450)  0.01
O (0.2893, 0.6447, 0.3550)  0.01
O (0.7102, 0.3553, 0.6446)  0.01



| no. | DFT total energy (Ry/atom) | formation energy (no corrections) (eV/atom) |
| --- | --- | --- |
| 1 | -0.49679 | -1.84 |
| 2 | -0.54619 | -1.63 |